# SrVO3, optimized geometry, DFT PBE+U
data_SrVO3
_chemical_formula_sum 'Sr4 V4 O12'
_cell_length_a 3.689
_cell_length_b 3.689
_cell_length_c 22.151
_cell_angle_alpha 90.00
_cell_angle_beta 90.00
_cell_angle_gamma 90.00
_space_group_name_H-M_alt 'I -4 m 2'
_space_group_IT_number 119
_space_group_name_Hall 'I -4 -2'
loop_
_atom_site_label
_atom_site_fract_x
_atom_site_fract_y
_atom_site_fract_z
_atom_site_occupancy
Sr1 0.000 0.000 0.000 1
Sr2 0.000 0.500 0.250 1
V1 0.000 0.500 0.633 1
O1 0.000 0.000 0.317 1
O2 0.000 0.254 0.103 1
# Raw total energy = -121.6 eV/cell
# M_tot = 8.664 μB per cell